# Li8Ga2Rh (GGA-PBE, optimized geometry)
data_Li8Ga2Rh
_space_group_name_H-M_alt 'C 1 2/m 1'
_space_group_IT_number 12
_cell_length_a 12.532
_cell_length_b 7.167
_cell_length_c 4.692
_cell_angle_alpha 90.00
_cell_angle_beta 101.73
_cell_angle_gamma 90.00
loop_
_space_group_symop_operation_xyz
'x,y,z'
'-x,-y,-z'
'-x,y,-z'
'x,-y,z'
'x+1/2,y+1/2,z'
'-x+1/2,-y+1/2,-z'
'-x+1/2,y+1/2,-z'
'x+1/2,-y+1/2,z'
loop_
_atom_site_label
_atom_site_type_symbol
_atom_site_fract_x
_atom_site_fract_y
_atom_site_fract_z
Li1 Li 0.063 0.196 0.296
Li2 Li 0.167 0.000 0.848
Li3 Li 0.206 0.500 0.587
Ga1 Ga 0.104 0.500 0.024
Rh1 Rh 0.000 0.500 0.500
# - E_form (eV/atom) = -0.107
# - E_tot (eV per atom) = -2.718
# - crystal system = monoclinic